Entry 1:
Here is an optimized crystal structure of AlZn2CuPd from Alexandria via LeMat-Bulk. Energies are from PBE-GGA.

Unit cell a=4.8196 b=13.1848 c=4.8139 alpha=90.00 beta=90.00 gamma=90.00
Space group Cmcm (No. 63)
Unique sites:
Al 0.0000 0.2503 0.2500 x4
Zn 0.2500 0.0000 0.0000 x8
Cu 0.0000 0.1477 0.7500 x4
Pd 0.0000 0.3406 0.7500 x4

Computed properties:
E_tot in eV per atom: -3.29



Entry 2:
Here is an optimized crystal structure of KMgAl from Alexandria via LeMat-Bulk. Energies are from PBE-GGA.

Unit cell a=7.4597 b=7.4597 c=7.4597 alpha=90.00 beta=90.00 gamma=90.00
Space group F-43m (No. 216)
Unique sites:
K 0.0000 0.0000 0.0000 x4
Mg 0.2500 0.2500 0.2500 x4
Al 0.0000 0.0000 0.5000 x4

Computed properties:
Polymorph energy (0 for the lowest one) in eV per formula unit: 1.25



Entry 3:
Here is an optimized crystal structure of CaCo2Hg from Alexandria via LeMat-Bulk. Energies are from PBE-GGA.

Unit cell a=5.0803 b=5.0803 c=6.6106 alpha=90.00 beta=90.00 gamma=120.00
Space group P3m1 (No. 156)
Unique sites:
Ca 0.0000 0.0000 0.0000 x1
Ca 0.3333 0.6667 0.6595 x1
Co 0.0236 0.5118 0.2462 x3
Co 0.6667 0.3333 0.5016 x1
Hg 0.0000 0.0000 0.4677 x1
Hg 0.6667 0.3333 0.9009 x1

Computed properties:
E_tot in eV per atom: -4.11



Entry 4:
Here is an optimized crystal structure of ScTe2Pt from Alexandria via LeMat-Bulk. Energies are from PBE-GGA.

Unit cell a=4.1101 b=3.4030 c=15.3655 alpha=90.00 beta=90.00 gamma=90.00
Space group Amm2 (No. 38)
Unique sites:
Sc 0.0000 0.0000 0.0000 x2
Te 0.0000 0.0000 0.3204 x2
Te 0.5000 0.0000 0.6050 x2
Pt 0.5000 0.0000 0.4315 x2

Computed properties:
E_tot in eV per atom: -5.47



no.,magnetic moment (μB per atom),Fermi-level density of states (states/eV per atom)
1,0.000,0.244
2,0.000,0.855
3,0.633,0.899
4,0.000,0.298